No. 1
# Li3Ac2NpS6

Li3Ac2NpS6 after structural relaxation (PBE, Alexandria via LeMat-Bulk).

Cell: 7.3861 7.3861 6.5807 Å, 98.90 98.90 121.81°
Fractional positions:
Li  0.1282  0.8718  0.5000
Li  0.8718  0.1282  0.5000
Li  0.5000  0.5000  0.5000
Ac  0.3305  0.6695  0.0000
Ac  0.6695  0.3305  0.0000
Np  0.0000  0.0000  0.0000
S  0.9260  0.6164  0.7440
S  0.7530  0.7530  0.2543
S  0.0740  0.3836  0.2560
S  0.6164  0.9260  0.7440
S  0.2470  0.2470  0.7457
S  0.3836  0.0740  0.2560

- Magnetization: 4.00 μB per formula unit
- Formation energy (no corrections): -1618 meV/atom


No. 2
# CrHgW2

CrHgW2 after structural relaxation (PBE, Alexandria via LeMat-Bulk).

Cell: 2.7548 2.7548 9.1248 Å, 90.00 90.00 109.69°
Fractional positions:
Cr  0.5000  0.5000  0.2500
Hg  0.5000  0.5000  0.7500
W  0.0000  0.0000  0.0299
W  0.0000  0.0000  0.4701

- Magnetization: 0.00 μB per formula unit
- Calculated formation energy: 0.5163 eV per atom


No. 3
# Sr3Al6Pd5

Sr3Al6Pd5 after structural relaxation (PBE, Alexandria via LeMat-Bulk).

Cell: 4.2776 10.6065 12.9946 Å, 90.00 90.00 90.00°
Fractional positions:
Sr  0.0000  0.2491  0.6596
Sr  0.5000  0.7509  0.1596
Sr  0.5000  0.7509  0.8404
Sr  0.0000  0.2610  0.0000
Sr  0.5000  0.7390  0.5000
Sr  0.0000  0.2491  0.3404
Al  0.0000  0.0078  0.8287
Al  0.5000  0.9922  0.6713
Al  0.5000  0.4186  0.8044
Al  0.5000  0.5115  0.0000
Al  0.0000  0.4885  0.5000
Al  0.0000  0.5814  0.6956
Al  0.0000  0.5814  0.3044
Al  0.5000  0.0173  0.0000
Al  0.0000  0.0078  0.1713
Al  0.5000  0.4186  0.1956
Al  0.0000  0.9827  0.5000
Al  0.5000  0.9922  0.3287
Pd  0.0000  0.5256  0.8887
Pd  0.0000  0.8531  0.6721
Pd  0.0000  0.8907  0.0000
Pd  0.5000  0.4744  0.6113
Pd  0.5000  0.1093  0.5000
Pd  0.0000  0.5256  0.1113
Pd  0.5000  0.4744  0.3887
Pd  0.0000  0.8531  0.3279
Pd  0.5000  0.1469  0.8279
Pd  0.5000  0.1469  0.1721

- Magnetization: 0.00 μB per formula unit
- Calculated formation energy: -0.6757 eV per atom


No. 4
# Rb3TeI7

Rb3TeI7 after structural relaxation (PBE, Alexandria via LeMat-Bulk).

Cell: 7.8655 7.8655 9.2208 Å, 81.71 81.71 95.06°
Fractional positions:
Rb  0.7595  0.2050  0.4792
Rb  0.4602  0.4602  0.9257
Rb  0.2050  0.7595  0.4792
Te  0.0078  0.0078  0.9748
I  0.1757  0.1757  0.2361
I  0.6630  0.0424  0.1368
I  0.9934  0.3533  0.7899
I  0.0424  0.6630  0.1368
I  0.6277  0.6277  0.5351
I  0.3533  0.9934  0.7899
I  0.8369  0.8369  0.7663

- Magnetization: 0.00 μB per formula unit
- Formation energy (no corrections): -848 meV/atom


No. 5
# PmAg4Sn4

PmAg4Sn4 after structural relaxation (PBE, Alexandria via LeMat-Bulk).

Cell: 6.5914 6.5914 9.8966 Å, 90.00 90.00 90.00°
Fractional positions:
Pm  0.0000  0.0000  0.0000
Pm  0.5000  0.5000  0.5000
Ag  0.2140  0.5000  0.9400
Ag  0.7860  0.5000  0.9400
Ag  0.5000  0.7860  0.0600
Ag  0.5000  0.2140  0.0600
Ag  0.0000  0.7140  0.4400
Ag  0.0000  0.2860  0.4400
Ag  0.2860  0.0000  0.5600
Ag  0.7140  0.0000  0.5600
Sn  0.5000  0.7642  0.7776
Sn  0.5000  0.2358  0.7776
Sn  0.7642  0.5000  0.2224
Sn  0.2358  0.5000  0.2224
Sn  0.2642  0.0000  0.2776
Sn  0.7358  0.0000  0.2776
Sn  0.0000  0.2642  0.7224
Sn  0.0000  0.7358  0.7224

- Magnetization: 0.00 μB per formula unit
- Calculated formation energy: -0.1016 eV per atom


No. 6
# TlCu2Br

TlCu2Br after structural relaxation (PBE, Alexandria via LeMat-Bulk).

Cell: 3.3371 3.3371 7.7951 Å, 90.00 90.00 89.73°
Fractional positions:
Br  0.5000  0.5000  0.8481
Cu  0.0000  0.0000  0.0403
Cu  0.5000  0.5000  0.1750
Tl  0.0000  0.0000  0.4366

- Magnetization: 0.00 μB per formula unit
- Formation energy (no corrections): 162 meV/atom


No. 7
# Tb3DyTl3

Tb3DyTl3 after structural relaxation (PBE, Alexandria via LeMat-Bulk).

Cell: 9.3627 9.3627 9.3627 Å, 90.00 90.00 90.00°
Fractional positions:
Tb  0.8236  0.3236  0.1764
Tb  0.9272  0.9272  0.9272
Tb  0.8235  0.6765  0.3235
Tb  0.1764  0.8236  0.3236
Tb  0.1765  0.1765  0.1765
Tb  0.3235  0.8235  0.6765
Tb  0.0728  0.4272  0.5728
Tb  0.3236  0.1764  0.8236
Tb  0.6765  0.3235  0.8235
Tb  0.6764  0.6764  0.6764
Tb  0.5728  0.0728  0.4272
Tb  0.4272  0.5728  0.0728
Dy  0.0734  0.5734  0.9266
Dy  0.9266  0.0734  0.5734
Dy  0.4266  0.4266  0.4266
Dy  0.5734  0.9266  0.0734
Tl  0.7507  0.6260  0.9999
Tl  0.8740  0.0001  0.2507
Tl  0.9999  0.7507  0.6260
Tl  0.1260  0.5001  0.2493
Tl  0.2493  0.1260  0.5001
Tl  0.2507  0.8740  0.0001
Tl  0.0001  0.2507  0.8740
Tl  0.3740  0.4999  0.7493
Tl  0.5001  0.2493  0.1260
Tl  0.6260  0.9999  0.7507
Tl  0.7493  0.3740  0.4999
Tl  0.4999  0.7493  0.3740

- Magnetization: 0.00 μB per formula unit
- Calculated formation energy: -0.2556 eV per atom


No. 8
# K3YF

K3YF after structural relaxation (PBE, Alexandria via LeMat-Bulk).

Cell: 5.7770 5.7770 5.7770 Å, 90.00 90.00 90.00°
Fractional positions:
Y  0.5000  0.5000  0.5000
K  0.0000  0.5000  0.0000
K  0.0000  0.0000  0.5000
K  0.5000  0.0000  0.0000
F  0.0000  0.0000  0.0000

- Magnetization: 1.39 μB per formula unit
- Formation energy (no corrections): -522 meV/atom


No. 9
# MgSc4CuIr2

MgSc4CuIr2 after structural relaxation (PBE, Alexandria via LeMat-Bulk).

Cell: 4.6587 4.6587 8.0815 Å, 73.25 73.25 60.00°
Fractional positions:
Mg  0.0000  0.0000  0.0000
Sc  0.3794  0.3794  0.8618
Sc  0.8711  0.8711  0.3868
Sc  0.1289  0.1289  0.6132
Sc  0.6206  0.6206  0.1382
Cu  0.5000  0.5000  0.5000
Ir  0.7479  0.7479  0.7564
Ir  0.2521  0.2521  0.2436

- Magnetization: 0.00 μB per formula unit
- Calculated formation energy: -0.6317 eV per atom


No. 10
# TlSi2Mo

TlSi2Mo after structural relaxation (PBE, Alexandria via LeMat-Bulk).

Cell: 4.6425 4.6425 4.6425 Å, 60.00 60.00 60.00°
Fractional positions:
Mo  0.5000  0.5000  0.5000
Si  0.0000  0.0000  0.0000
Si  0.7500  0.7500  0.7500
Tl  0.2500  0.2500  0.2500

- Magnetization: 0.00 μB per formula unit
- Formation energy (no corrections): 937 meV/atom


No. 11
# Ba8Pt3AuBr4

Ba8Pt3AuBr4 after structural relaxation (PBE, Alexandria via LeMat-Bulk).

Cell: 9.1919 9.9095 9.1920 Å, 117.65 120.00 90.00°
Fractional positions:
Ba  0.2430  0.7154  0.9727
Ba  0.2430  0.7153  0.4860
Ba  0.2628  0.2884  0.5255
Ba  0.7297  0.7154  0.9727
Ba  0.2703  0.2846  0.0273
Ba  0.7372  0.7116  0.4745
Ba  0.7570  0.2847  0.5140
Ba  0.7570  0.2846  0.0273
Pt  0.5000  0.5000  0.0000
Pt  0.5000  0.5000  0.5000
Pt  0.0000  0.5000  0.5000
Au  0.0000  0.5000  0.0000
Br  0.5000  0.0000  0.0000
Br  0.5000  0.0000  0.5000
Br  0.0000  0.0000  0.0000
Br  0.0000  0.0000  0.5000

- Magnetization: 0.00 μB per formula unit
- Formation energy (no corrections): -1259 meV/atom


No. 12
# Li2TbPt

Li2TbPt after structural relaxation (PBE, Alexandria via LeMat-Bulk).

Cell: 2.9936 2.9936 10.4052 Å, 81.73 81.73 60.00°
Fractional positions:
Tb  0.0000  0.0000  0.0000
Pt  0.5000  0.5000  0.5000
Li  0.1021  0.1021  0.6938
Li  0.8979  0.8979  0.3062

- Magnetization: 0.19 μB per formula unit
- Calculated formation energy: 0.0106 eV per atom


No. 13
# CoSb2RuPb

CoSb2RuPb after structural relaxation (PBE, Alexandria via LeMat-Bulk).

Cell: 4.8600 4.8879 4.8600 Å, 90.00 90.00 90.00°
Fractional positions:
Pb  0.5000  0.5000  0.5000
Sb  0.0000  0.0000  0.5000
Sb  0.5000  0.0000  0.0000
Co  0.0000  0.0000  0.0000
Ru  0.0000  0.5000  0.0000

- Magnetization: 2.52 μB per formula unit
- Formation energy (no corrections): 653 meV/atom


No. 14
# CeMgPIr2

CeMgPIr2 after structural relaxation (PBE, Alexandria via LeMat-Bulk).

Cell: 4.1311 3.7086 6.4954 Å, 106.59 108.54 90.00°
Fractional positions:
Ce  0.4530  0.4530  0.9060
Mg  0.1948  0.6948  0.3896
P  0.8291  0.8291  0.6582
Ir  0.7081  0.2081  0.4162
Ir  0.0271  0.0271  0.0542

- Magnetization: 0.00 μB per formula unit
- Calculated formation energy: -0.7838 eV per atom


No. 15
# FeSbOs

FeSbOs after structural relaxation (PBE, Alexandria via LeMat-Bulk).

Cell: 4.8202 4.8202 4.8202 Å, 142.50 134.74 60.19°
Fractional positions:
Fe  0.9936  0.9936  0.0000
Os  0.3380  0.3380  0.0000
Sb  0.6684  0.6684  0.0000

- Magnetization: 3.39 μB per formula unit
- Formation energy (no corrections): 467 meV/atom


No. 16
# V6Ge4Ir

V6Ge4Ir after structural relaxation (PBE, Alexandria via LeMat-Bulk).

Cell: 6.7532 6.7532 6.7532 Å, 73.25 130.10 130.10°
Fractional positions:
V  0.0000  0.7743  0.4331
V  0.0000  0.4331  0.7743
V  0.6589  0.2257  0.2257
V  0.5000  0.0000  0.5000
V  0.3411  0.5669  0.5669
V  0.5000  0.5000  0.0000
Ge  0.0000  0.0744  0.6142
Ge  0.4602  0.3858  0.3858
Ge  0.0000  0.6142  0.0744
Ge  0.5398  0.9256  0.9256
Ir  0.0000  0.0000  0.0000

- Magnetization: 1.93 μB per formula unit
- Calculated formation energy: 0.1402 eV per atom


No. 17
# AcGaO3

AcGaO3 after structural relaxation (PBE, Alexandria via LeMat-Bulk).

Cell: 3.9773 3.9773 3.9773 Å, 90.00 90.00 90.00°
Fractional positions:
Ac  0.0000  0.0000  0.0000
Ga  0.5000  0.5000  0.5000
O  0.5000  0.5000  0.0000
O  0.5000  0.0000  0.5000
O  0.0000  0.5000  0.5000

- Magnetization: 0.00 μB per formula unit
- Formation energy (no corrections): -2647 meV/atom


No. 18
# Pr5Ho4Th

Pr5Ho4Th after structural relaxation (PBE, Alexandria via LeMat-Bulk).

Cell: 3.5926 11.0824 14.1957 Å, 140.63 97.33 90.02°
Fractional positions:
Pr  0.1704  0.3936  0.3400
Pr  0.1755  0.7923  0.3500
Pr  0.8245  0.2077  0.6500
Pr  0.5000  0.5000  0.0000
Pr  0.8296  0.6064  0.6600
Ho  0.6466  0.0475  0.2936
Ho  0.0245  0.2954  0.0472
Ho  0.3534  0.9525  0.7064
Ho  0.9755  0.7046  0.9528
Th  0.5000  0.0000  0.0000

- Magnetization: 0.00 μB per formula unit
- Calculated formation energy: 0.1556 eV per atom


No. 19
# KAc2Hg6

KAc2Hg6 after structural relaxation (PBE, Alexandria via LeMat-Bulk).

Cell: 3.7509 9.0470 9.0470 Å, 120.00 90.00 90.00°
Fractional positions:
K  0.0000  0.0000  0.0000
Ac  0.0000  0.3333  0.6667
Ac  0.0000  0.6667  0.3333
Hg  0.5000  0.3322  0.3322
Hg  0.5000  0.6678  0.6678
Hg  0.5000  0.0000  0.6678
Hg  0.5000  0.6678  0.0000
Hg  0.5000  0.3322  0.0000
Hg  0.5000  0.0000  0.3322

- Magnetization: 0.00 μB per formula unit
- Calculated formation energy: -0.3702 eV per atom


No. 20
# Na2S2O5

Na2S2O5 after structural relaxation (PBE, Alexandria via LeMat-Bulk).

Cell: 3.6856 7.2070 5.3072 Å, 106.51 90.00 104.81°
Fractional positions:
Na  0.4238  0.8476  0.6564
Na  0.5762  0.1524  0.3436
S  0.1249  0.2498  0.9358
S  0.8751  0.7502  0.0642
O  0.3581  0.7161  0.0075
O  0.6419  0.2839  0.9925
O  0.1002  0.2003  0.6423
O  0.8998  0.7997  0.3577
O  0.0000  0.0000  0.0000

- Magnetization: 0.00 μB per formula unit
- Formation energy (no corrections): -1000 meV/atom